# 1
PBE MnCrCuTeAu, relaxed; E above lowest polymorph = 156 meV per atom; raw total energy = -55.8 eV for the cell shown; formation energy without anion corrections = 0.2844 eV/atom
1.0
-0.1700 5.6070 -5.1356
-4.4649 -1.3126 -1.2852
-1.7055 1.7075 4.1810
Cu Te Mn Au Cr
2 2 2 2 2
Direct
0.1222 0.0000 0.1276
0.1222 0.5000 0.6276
0.3716 0.5000 0.2540
0.3716 0.0000 0.7540
0.5397 0.5000 0.8377
0.5397 0.0000 0.3377
0.9302 0.0000 0.5322
0.9302 0.5000 0.0322
0.7507 0.5000 0.4428
0.7507 0.0000 0.9428

***

# 2
PBE YHgS3, relaxed; E above lowest polymorph = 584 meV per atom; raw total energy = -20.6 eV for the cell shown; formation energy without anion corrections = -0.3002 eV/atom
1.0
-0.2156 1.1135 5.1846
3.3264 -4.0126 1.0001
4.1298 3.2902 -0.5349
Hg S Y
1 3 1
Direct
0.5000 0.5000 0.5000
0.5000 0.0000 0.0000
0.0000 0.5000 0.0000
0.0000 0.0000 0.5000
0.0000 0.0000 0.0000

***

# 3
PBE SrBe2Zn, relaxed; raw total energy = -18.6 eV for the cell shown; calculated formation energy = 0.27 eV per atom
1.0
-0.3339 1.3966 4.3171
3.0402 -3.1446 1.2524
7.2894 4.3721 1.5467
Be Zn Sr
4 2 2
Direct
0.8750 0.6250 0.7500
0.3750 0.6250 0.2500
0.3750 0.6250 0.7500
0.3750 0.1250 0.2500
0.5000 0.5000 0.0000
0.2500 0.7500 0.5000
0.0000 0.0000 0.0000
0.7500 0.2500 0.5000

***

# 4
PBE LaTcH6Pd, relaxed; raw total energy = -42.7 eV for the cell shown
1.0
4.7260 0.0000 -0.0001
2.3630 4.0928 0.0001
0.0001 -0.0001 4.5588
H Tc Pd La
6 1 1 1
Direct
0.0291 0.4855 0.2280
0.0291 0.4854 0.7720
0.4854 0.0291 0.2280
0.4854 0.0291 0.7720
0.4854 0.4855 0.7720
0.4854 0.4855 0.2280
0.3333 0.3333 0.5000
0.6667 0.6667 0.5000
0.0000 0.0000 0.0000

***

# 5
PBE Tb2PmErTm5, relaxed; raw total energy = -76.7 eV for the cell shown; calculated formation energy = 0.29 eV per atom
1.0
-5.7929 2.9695 -5.9335
4.2853 -4.3391 -6.3553
-3.4638 -5.1987 7.3175
Tm Tb Er Pm
10 4 2 2
Direct
0.9272 0.4272 0.2671
0.1600 0.0728 0.7329
0.5000 0.5000 0.0000
0.5728 0.6600 0.7329
0.6600 0.1600 0.7329
0.3400 0.8400 0.2671
0.0728 0.5728 0.7329
0.0000 0.0000 0.0000
0.8400 0.9272 0.2671
0.4272 0.3400 0.2671
0.8865 0.6135 0.0000
0.6135 0.1135 0.0000
0.1135 0.3865 0.0000
0.3865 0.8865 0.0000
0.7500 0.2500 0.5000
0.2500 0.7500 0.5000
0.2500 0.2500 0.5000
0.7500 0.7500 0.5000

***

# 6
PBE CeSmCo, relaxed; E above lowest polymorph = 192 meV per atom; raw total energy = -17.6 eV for the cell shown; calculated formation energy = 0.06 eV per atom
1.0
-1.7876 4.3625 0.3946
-3.5848 1.3477 -2.7777
-4.3116 0.6320 1.8420
Ce Sm Co
1 1 1
Direct
0.5000 0.5000 0.5000
0.0000 0.0000 0.0000
0.2500 0.2500 0.2500

***

# 7
PBE HfSnB2, relaxed; raw total energy = -50.2 eV for the cell shown; calculated formation energy = 0.55 eV per atom
1.0
6.1625 0.0000 0.0000
0.0000 6.1625 0.0000
3.0812 3.0812 3.2870
B Hf Sn
4 2 2
Direct
0.6129 0.1250 0.2500
0.8750 0.8629 0.7500
0.3750 0.3871 0.7500
0.1371 0.6250 0.2500
0.0000 0.0000 0.0000
0.7500 0.2500 0.5000
0.5000 0.5000 0.0000
0.2500 0.7500 0.5000

***

# 8
PBE Ir2Se9Cl6, relaxed; raw total energy = -263.4 eV for the cell shown; formation energy without anion corrections = -0.3341 eV/atom
1.0
15.2600 0.1238 0.0000
4.6290 14.5415 0.0000
-9.9445 -7.3327 8.9567
Se Cl Ir
36 24 8
Direct
0.5713 0.8287 0.4035
0.6875 0.6653 0.6908
0.3248 0.0822 0.9035
0.1713 0.5748 0.7425
0.3889 0.8889 0.5000
0.1787 0.4213 0.0965
0.3346 0.0255 0.0222
0.4379 0.2958 0.1398
0.8322 0.4287 0.2575
0.6389 0.6389 0.0000
0.0625 0.5846 0.8092
0.1111 0.6111 0.5000
0.9325 0.3080 0.4363
0.7018 0.5621 0.8579
0.7042 0.8440 0.1421
0.5940 0.9518 0.6398
0.6920 0.1283 0.6245
0.5038 0.0675 0.3755
0.4154 0.2245 0.4778
0.8717 0.4962 0.5637
0.8783 0.7538 0.9363
0.7467 0.9375 0.5222
0.0033 0.3125 0.9778
0.2462 0.1825 0.1245
0.8175 0.9420 0.0637
0.7755 0.2533 0.1908
0.3121 0.9542 0.3602
0.0580 0.1217 0.8755
0.1560 0.2982 0.8602
0.0482 0.6879 0.6421
0.9745 0.9967 0.3092
0.3611 0.3611 0.0000
0.5787 0.6752 0.7575
0.0458 0.4060 0.3579
0.4252 0.1678 0.5965
0.9178 0.8213 0.2425
0.3189 0.4167 0.6285
0.8318 0.1610 0.9258
0.0940 0.1682 0.3292
0.9182 0.0890 0.5742
0.1122 0.7256 0.1764
0.2744 0.4508 0.3866
0.2352 0.9060 0.0742
0.6378 0.5244 0.3236
0.0642 0.8878 0.6134
0.5492 0.9358 0.8236
0.6560 0.0818 0.1708
0.4756 0.7992 0.1134
0.5148 0.3440 0.4258
0.9110 0.4852 0.8292
0.6858 0.3622 0.8866
0.9618 0.5596 0.1285
0.7882 0.6904 0.3715
0.4404 0.5689 0.4022
0.8390 0.7648 0.6708
0.5833 0.2118 0.9022
0.4311 0.8333 0.8715
0.3096 0.6811 0.0978
0.1667 0.0382 0.5978
0.2008 0.3142 0.6764
0.9049 0.6571 0.0270
0.4071 0.8800 0.2522
0.6300 0.8779 0.9730
0.3429 0.3700 0.2478
0.1221 0.0951 0.7522
0.8451 0.5929 0.4730
0.1200 0.3721 0.5270
0.6279 0.1549 0.7478

***

# 9
PBE Zr5Zn4Ag, relaxed; raw total energy = -52.9 eV for the cell shown; calculated formation energy = -0.22 eV per atom
1.0
-1.8531 0.1473 -2.7456
-2.6841 -0.8150 1.7679
-3.1102 16.7469 2.9979
Zn Zr Ag
4 5 1
Direct
0.0000 0.0000 0.4024
0.0000 0.0000 0.5976
0.0000 0.0000 0.7942
0.0000 0.0000 0.2058
0.5000 0.5000 0.1089
0.5000 0.5000 0.6950
0.5000 0.5000 0.8911
0.5000 0.5000 0.3050
0.5000 0.5000 0.5000
0.0000 0.0000 0.0000

***

# 10
PBE Ir2Au2N, relaxed; E above lowest polymorph = 0 meV per atom; raw total energy = -59.9 eV for the cell shown; formation energy without anion corrections = 0.5281 eV/atom
1.0
5.4585 0.0000 0.0000
0.0000 5.4585 0.0000
0.0000 0.0000 5.2462
N Ir Au
2 4 4
Direct
0.0000 0.0000 0.0000
0.5000 0.5000 0.0000
0.3140 0.8140 0.0000
0.8140 0.6860 0.0000
0.6860 0.1860 0.0000
0.1860 0.3140 0.0000
0.8215 0.3215 0.5000
0.3215 0.1785 0.5000
0.1785 0.6785 0.5000
0.6785 0.8215 0.5000

***

# 11
PBE LiPuPd6, relaxed; E above lowest polymorph = 0 meV per atom; raw total energy = -50.7 eV for the cell shown; calculated formation energy = -0.42 eV per atom
1.0
-1.5060 -2.8191 2.3791
0.5096 -3.8389 -4.2263
5.2824 -1.2920 1.8127
Li Pd Pu
1 6 1
Direct
0.5000 0.5000 0.5000
0.5000 0.5000 0.0000
0.0000 0.7439 0.2561
0.0000 0.2561 0.7439
0.0000 0.7441 0.7441
0.0000 0.2559 0.2559
0.5000 0.0000 0.5000
0.5000 0.0000 0.0000

***

# 12
PBE PaGa3Co, relaxed; E above lowest polymorph = 0 meV per atom; raw total energy = -27.6 eV for the cell shown; calculated formation energy = -0.39 eV per atom
1.0
-3.8048 0.2883 1.5266
1.5681 -0.1261 3.7852
-0.8445 5.2641 2.9204
Ga Co Pa
3 1 1
Direct
0.8407 0.6413 0.0940
0.1513 0.4217 0.4194
0.6149 0.9535 0.4205
0.9660 0.7739 0.6671
0.4349 0.2348 0.9101

***

Please write out number 6 again, unchanged.
PBE CeSmCo, relaxed; E above lowest polymorph = 192 meV per atom; raw total energy = -17.6 eV for the cell shown; calculated formation energy = 0.06 eV per atom
1.0
-1.7876 4.3625 0.3946
-3.5848 1.3477 -2.7777
-4.3116 0.6320 1.8420
Ce Sm Co
1 1 1
Direct
0.5000 0.5000 0.5000
0.0000 0.0000 0.0000
0.2500 0.2500 0.2500